# 1
YOs3 PBE-GGA optimized geometry; energy = -0.22184 hartree per atom; Fermi-level density of states = 1.6450 states/eV per atom
1.0
5.093 0.000 0.000
0.000 5.093 0.000
0.000 0.000 5.093
Y Os
1 3
Direct
0.000 0.000 0.000
0.000 0.000 0.500
0.000 0.500 0.000
0.500 0.000 0.000

=====

# 2
YOs PBE-GGA optimized geometry; energy = -0.31160 hartree per atom; Fermi-level density of states = 0.5135 states/eV per atom
1.0
1.632 0.942 4.382
-1.632 0.942 4.382
0.000 -1.884 4.382
Y Os
1 1
Direct
0.000 0.000 0.000
0.500 0.500 0.500

=====

# 3
Y7Os PBE-GGA optimized geometry; energy = -0.25190 hartree per atom; Fermi-level density of states = 1.1704 states/eV per atom
1.0
0.000 4.806 4.806
4.806 0.000 4.806
4.806 4.806 0.000
Y Os
7 1
Direct
0.000 0.000 0.000
0.000 0.000 0.500
0.000 0.500 0.000
0.000 0.500 0.500
0.500 0.000 0.000
0.500 0.000 0.500
0.500 0.500 0.000
0.500 0.500 0.500

=====

# 4
YOs PBE-GGA optimized geometry; energy = -0.29611 hartree per atom; Fermi-level density of states = 0.9283 states/eV per atom
1.0
0.000 2.868 2.868
2.868 0.000 2.868
2.868 2.868 0.000
Y Os
1 1
Direct
0.000 0.000 0.000
0.500 0.500 0.500

=====

# 5
YOs3 PBE-GGA optimized geometry; energy = -0.35605 hartree per atom; Fermi-level density of states = 0.9960 states/eV per atom
1.0
-1.449 2.341 5.027
1.449 -2.341 5.027
1.449 2.341 -5.027
Y Os
1 3
Direct
0.000 0.000 0.000
0.280 0.780 0.500
0.500 0.500 0.000
0.720 0.220 0.500

=====

# 6
YOs5 PBE-GGA optimized geometry; energy = -0.37201 hartree per atom; Fermi-level density of states = 0.9505 states/eV per atom
1.0
4.446 0.000 0.000
0.000 1.400 7.784
0.000 -1.400 7.784
Y Os
1 5
Direct
0.000 0.000 0.000
0.000 0.321 0.321
0.000 0.675 0.675
0.500 0.123 0.123
0.500 0.421 0.421
0.500 0.774 0.774

=====

# 7
YOs3 PBE-GGA optimized geometry; energy = -0.34096 hartree per atom; Fermi-level density of states = 1.3917 states/eV per atom
1.0
5.177 0.000 0.000
0.000 5.177 0.000
0.000 0.000 5.177
Y Os
2 6
Direct
0.000 0.000 0.000
0.500 0.500 0.500
0.000 0.250 0.500
0.000 0.750 0.500
0.250 0.500 0.000
0.500 0.000 0.250
0.500 0.000 0.750
0.750 0.500 0.000

=====

# 8
YOs PBE-GGA optimized geometry; energy = -0.26329 hartree per atom; Fermi-level density of states = 2.2236 states/eV per atom
1.0
0.000 3.147 3.147
3.147 0.000 3.147
3.147 3.147 0.000
Y Os
1 1
Direct
0.000 0.000 0.000
0.250 0.250 0.250

=====

# 9
YOs PBE-GGA optimized geometry; energy = -0.31508 hartree per atom; Fermi-level density of states = 1.3680 states/eV per atom
1.0
-2.030 2.030 4.899
2.030 -2.030 4.899
2.030 2.030 -4.899
Y Os
2 2
Direct
0.375 0.625 0.750
0.625 0.375 0.250
0.125 0.875 0.250
0.875 0.125 0.750

=====

# 10
YOs2 PBE-GGA optimized geometry; energy = -0.34086 hartree per atom; Fermi-level density of states = 0.9376 states/eV per atom
1.0
5.251 -1.482 0.000
5.251 1.482 0.000
-2.159 0.000 6.777
Y Os
2 4
Direct
0.000 0.000 0.000
0.654 0.654 0.391
0.301 0.301 0.117
0.332 0.332 0.705
0.629 0.629 0.762
0.922 0.922 0.443

=====

# 11
YOs3 PBE-GGA optimized geometry; energy = -0.34681 hartree per atom; Fermi-level density of states = 1.5719 states/eV per atom
1.0
0.000 3.232 3.232
3.232 0.000 3.232
3.232 3.232 0.000
Y Os
1 3
Direct
0.000 0.000 0.000
0.250 0.250 0.250
0.500 0.500 0.500
0.750 0.750 0.750

=====

# 12
YOs2 PBE-GGA optimized geometry; energy = -0.32707 hartree per atom; Fermi-level density of states = 1.0290 states/eV per atom
1.0
7.619 0.000 0.000
-3.809 6.598 0.000
0.000 0.000 4.229
Y Os
3 6
Direct
0.000 0.000 0.000
0.333 0.667 0.500
0.667 0.333 0.500
0.000 0.251 0.500
0.000 0.395 0.000
0.251 0.000 0.500
0.395 0.000 0.000
0.605 0.605 0.000
0.749 0.749 0.500

=====

ΔH_f (0 K) across the listed records, respectively: 4002, 368, 205, 789, 350, 313, 760, 1682, 273, 366, 601, 741 meV/atom.